(1)
PBE K3Ba12Au5, relaxed; E = -184.798 eV per cell; SG = No. 230; calculated formation energy = -0.172 eV/atom
1.0
-10.6925 10.6925 10.6925
10.6925 -10.6925 10.6925
10.6925 10.6925 -10.6925
K Ba Au
12 48 20
Direct
0.1250 0.2500 0.3750
0.1250 0.3750 0.7500
0.2500 0.3750 0.1250
0.2500 0.8750 0.6250
0.3750 0.1250 0.2500
0.3750 0.7500 0.1250
0.6250 0.2500 0.8750
0.6250 0.8750 0.7500
0.7500 0.1250 0.3750
0.7500 0.6250 0.8750
0.8750 0.6250 0.2500
0.8750 0.7500 0.6250
0.0102 0.1907 0.0995
0.0102 0.3194 0.9106
0.0894 0.5995 0.4088
0.0894 0.9898 0.6806
0.0912 0.6907 0.6806
0.0912 0.9005 0.4106
0.0995 0.0102 0.1907
0.0995 0.5894 0.9088
0.1806 0.1907 0.5912
0.1806 0.4898 0.5894
0.1907 0.0995 0.0102
0.1907 0.5912 0.1806
0.3093 0.3194 0.9088
0.3093 0.4898 0.4005
0.3194 0.9088 0.3093
0.3194 0.9106 0.0102
0.4005 0.3093 0.4898
0.4005 0.5912 0.9106
0.4088 0.0894 0.5995
0.4088 0.8194 0.8093
0.4106 0.0912 0.9005
0.4106 0.8194 0.5102
0.4898 0.4005 0.3093
0.4898 0.5894 0.1806
0.5102 0.4106 0.8194
0.5102 0.5995 0.6907
0.5894 0.1806 0.4898
0.5894 0.9088 0.0995
0.5912 0.1806 0.1907
0.5912 0.9106 0.4005
0.5995 0.4088 0.0894
0.5995 0.6907 0.5102
0.6806 0.0894 0.9898
0.6806 0.0912 0.6907
0.6907 0.5102 0.5995
0.6907 0.6806 0.0912
0.8093 0.4088 0.8194
0.8093 0.9005 0.9898
0.8194 0.5102 0.4106
0.8194 0.8093 0.4088
0.9005 0.4106 0.0912
0.9005 0.9898 0.8093
0.9088 0.0995 0.5894
0.9088 0.3093 0.3194
0.9106 0.0102 0.3194
0.9106 0.4005 0.5912
0.9898 0.6806 0.0894
0.9898 0.8093 0.9005
0.0000 0.0000 0.0000
0.0000 0.0000 0.5000
0.0000 0.5000 0.0000
0.0000 0.5000 0.5000
0.1250 0.7500 0.8750
0.1250 0.8750 0.2500
0.2500 0.1250 0.8750
0.2500 0.6250 0.3750
0.3750 0.2500 0.6250
0.3750 0.6250 0.7500
0.5000 0.0000 0.0000
0.5000 0.0000 0.5000
0.5000 0.5000 0.0000
0.5000 0.5000 0.5000
0.6250 0.3750 0.2500
0.6250 0.7500 0.3750
0.7500 0.3750 0.6250
0.7500 0.8750 0.1250
0.8750 0.1250 0.7500
0.8750 0.2500 0.1250

(2)
PBE RbYPb2, relaxed; E = -16.126 eV per cell; SG = No. 123; calculated formation energy = -0.319 eV/atom
1.0
4.1435 0.0000 0.0000
0.0000 4.1435 0.0000
0.0000 0.0000 8.3652
Rb Y Pb
1 1 2
Direct
0.0000 0.0000 0.0000
0.0000 0.0000 0.5000
0.5000 0.5000 0.3123
0.5000 0.5000 0.6877

(3)
PBE K4CuAs, relaxed; E = -10.061 eV per cell; SG = No. 216; calculated formation energy = 0.512 eV/atom
1.0
0.0000 4.7315 4.7315
4.7315 0.0000 4.7315
4.7315 4.7315 0.0000
K Cu As
4 1 1
Direct
0.1248 0.1248 0.1248
0.1248 0.1248 0.6255
0.1248 0.6255 0.1248
0.6255 0.1248 0.1248
0.5000 0.5000 0.5000
0.7500 0.7500 0.7500

(4)
PBE Mg2ScTaCo, relaxed; E = -20.585 eV per cell; SG = No. 123; calculated formation energy = 1.579 eV/atom
1.0
5.2734 0.0000 0.0000
0.0000 5.2734 0.0000
0.0000 0.0000 4.8608
Mg Sc Ta Co
2 1 1 1
Direct
0.0000 0.5000 0.0000
0.5000 0.0000 0.0000
0.0000 0.0000 0.5000
0.0000 0.0000 0.0000
0.5000 0.5000 0.5000

(5)
PBE MgTa2TeIr, relaxed; E = -28.984 eV per cell; SG = No. 123; E_form (uncorrected) = 1664 meV/atom
1.0
4.8916 0.0000 0.0000
0.0000 4.8916 0.0000
0.0000 0.0000 4.4298
Mg Ta Te Ir
1 2 1 1
Direct
0.0000 0.0000 0.0000
0.0000 0.5000 0.0000
0.5000 0.0000 0.0000
0.5000 0.5000 0.5000
0.0000 0.0000 0.5000

(6)
PBE Na6Tl2Ga, relaxed; E = -16.253 eV per cell; SG = No. 166; calculated formation energy = -0.064 eV/atom
1.0
2.7673 1.5977 10.2114
-2.7673 1.5977 10.2114
0.0000 -3.1954 10.2114
Na Tl Ga
6 2 1
Direct
0.0798 0.0798 0.0798
0.1956 0.1956 0.1956
0.3072 0.3072 0.3072
0.6928 0.6928 0.6928
0.8044 0.8044 0.8044
0.9202 0.9202 0.9202
0.4113 0.4113 0.4113
0.5887 0.5887 0.5887
0.5000 0.5000 0.5000

(7)
PBE ThPd2PtAu, relaxed; E = -61.520 eV per cell; SG = No. 11; calculated formation energy = -0.727 eV/atom
1.0
6.8063 0.0000 0.0000
0.0000 4.2748 0.0000
-1.2334 0.0000 6.6942
Th Pd Pt Au
2 4 2 2
Direct
0.1872 0.2500 0.2207
0.8128 0.7500 0.7793
0.1743 0.7500 0.5310
0.4750 0.2500 0.6368
0.5250 0.7500 0.3632
0.8257 0.2500 0.4690
0.1234 0.2500 0.7903
0.8766 0.7500 0.2097
0.3764 0.7500 0.9265
0.6236 0.2500 0.0735

(8)
PBE AcCeY2Se4, relaxed; E = -51.268 eV per cell; SG = No. 10; E_form (uncorrected) = -1795 meV/atom
1.0
7.2370 0.0000 0.0000
0.0000 4.1515 0.0000
-2.3858 0.0000 7.0551
Ac Ce Y Se
1 1 2 4
Direct
0.0000 0.0000 0.0000
0.5000 0.5000 0.0000
0.0000 0.5000 0.5000
0.5000 0.0000 0.5000
0.2506 0.0000 0.7327
0.2641 0.5000 0.2729
0.7359 0.5000 0.7271
0.7494 0.0000 0.2673

| no. | density of states at the Fermi level (states/eV per cell) |
| --- | --- |
| 1 | 87.62 |
| 2 | 2.14 |
| 3 | 5.19 |
| 4 | 7.84 |
| 5 | 5.92 |
| 6 | 4.49 |
| 7 | 4.48 |
| 8 | 9.05 |